# Ir8Ru5Rh GGA-PBE optimized geometry
data_Ir8Ru5Rh
_space_group_name_H-M_alt 'I -4'
_space_group_IT_number 82
_cell_length_a 7.834
_cell_length_b 7.834
_cell_length_c 7.102
_cell_angle_alpha 90.00
_cell_angle_beta 90.00
_cell_angle_gamma 90.00
loop_
_space_group_symop_operation_xyz
'x,y,z'
'y,-x,-z'
'-x,-y,z'
'-y,x,-z'
'x+1/2,y+1/2,z+1/2'
'y+1/2,-x+1/2,-z+1/2'
'-x+1/2,-y+1/2,z+1/2'
'-y+1/2,x+1/2,-z+1/2'
loop_
_atom_site_label
_atom_site_fract_x
_atom_site_fract_y
_atom_site_fract_z
Ir1 0.079 0.353 0.083
Ir2 0.136 0.188 0.762
Ru1 0.000 0.000 0.000
Ru2 0.111 0.163 0.397
Rh1 0.000 0.500 0.750
# **ΔH_f (0 K)**: 0.40 eV per atom